# 1
The following is a DFT calculation (PBE-GGA) of NiSbPd4 after structural relaxation.

For the energy relative to the elements, uncorrected, the calculation gives 3.2 kJ/mol of formula units.

abc: 6.133 6.133 5.417
angles: 90.00 90.00 90.00
Space group P-42c (No. 112)
Symmetry-distinct sites (fractional):
Ni1 0.000 0.000 0.000
Sb1 0.000 0.500 0.250
Pd1 0.234 0.320 0.887

# 2
The following is a DFT calculation (PBE-GGA) of Ba2CaAs after structural relaxation.

The energy of formation is -95.4 meV per atom.

abc: 8.313 8.313 8.313
angles: 90.00 90.00 90.00
Space group F-43m (No. 216)
Symmetry-distinct sites (fractional):
Ba1 0.000 0.000 0.000
Ba2 0.250 0.250 0.250
Ca1 0.250 0.250 0.750
As1 0.000 0.000 0.500

no.,N(E_F) (states/eV/f.u.),total magnetic moment (μB per formula unit)
1,7.4,0.7
2,4.7,2.0